# 1
# Au2BrO (PBE, relaxed)
# DOS at the Fermi energy   52.066 states/eV per cell
# E_tot   -40.47 eV for the cell shown
# Relative energy among the computed polymorphs   536 meV per atom
data_Au2BrO
_chemical_formula_sum 'Au8 Br4 O4'
_space_group_name_H-M_alt 'F m -3 m'
_space_group_IT_number 225
_space_group_name_Hall '-F 4 2 3'
_cell_length_a 6.5044
_cell_length_b 6.5044
_cell_length_c 6.5044
_cell_angle_alpha 90.00
_cell_angle_beta 90.00
_cell_angle_gamma 90.00
loop_
_atom_site_label
_atom_site_fract_x
_atom_site_fract_y
_atom_site_fract_z
Au1 0.2500 0.2500 0.2500
Br1 0.0000 0.0000 0.0000
O1 0.0000 0.0000 0.5000

# 2
# MgZrBr2 (PBE, relaxed)
# DOS at the Fermi energy   15.377 states/eV per cell
# E_tot   -50.78 eV for the cell shown
# Relative energy among the computed polymorphs   935 meV per atom
data_MgZrBr2
_chemical_formula_sum 'Mg4 Zr4 Br8'
_space_group_name_H-M_alt 'F -4 3 m'
_space_group_IT_number 216
_space_group_name_Hall 'F -4 2 3'
_cell_length_a 7.4153
_cell_length_b 7.4153
_cell_length_c 7.4153
_cell_angle_alpha 90.00
_cell_angle_beta 90.00
_cell_angle_gamma 90.00
loop_
_atom_site_label
_atom_site_fract_x
_atom_site_fract_y
_atom_site_fract_z
Mg1 0.0000 0.0000 0.0000
Zr1 0.2500 0.2500 0.7500
Br1 0.0000 0.0000 0.5000
Br2 0.2500 0.2500 0.2500

# 3
# BeTlPb3 (PBE, relaxed)
# E_form   7.4 kcal/mol of atoms
# DOS at the Fermi energy   4.418 states/eV per cell
# E_tot   -15.62 eV for the cell shown
# Relative energy among the computed polymorphs   0 meV per atom
data_BeTlPb3
_chemical_formula_sum 'Be1 Tl1 Pb3'
_space_group_name_H-M_alt 'P m -3 m'
_space_group_IT_number 221
_space_group_name_Hall '-P 4 2 3'
_cell_length_a 5.2340
_cell_length_b 5.2340
_cell_length_c 5.2340
_cell_angle_alpha 90.00
_cell_angle_beta 90.00
_cell_angle_gamma 90.00
loop_
_atom_site_label
_atom_site_fract_x
_atom_site_fract_y
_atom_site_fract_z
Be1 0.0000 0.0000 0.0000
Tl1 0.5000 0.5000 0.5000
Pb1 0.0000 0.0000 0.5000

# 4
# PdN4Cl2O (PBE, relaxed)
# DOS at the Fermi energy   9.540 states/eV per cell
# E_tot   -85.15 eV for the cell shown
# Relative energy among the computed polymorphs   0 meV per atom
data_PdN4Cl2O
_chemical_formula_sum 'Pd2 N8 Cl4 O2'
_space_group_name_H-M_alt 'P 4/m b m'
_space_group_IT_number 127
_space_group_name_Hall '-P 4 2ab'
_cell_length_a 7.7946
_cell_length_b 7.7946
_cell_length_c 6.9985
_cell_angle_alpha 90.00
_cell_angle_beta 90.00
_cell_angle_gamma 90.00
loop_
_atom_site_label
_atom_site_fract_x
_atom_site_fract_y
_atom_site_fract_z
Pd1 0.0000 0.0000 0.0000
N1 0.1749 0.2233 0.0000
Cl1 0.0903 0.4097 0.5000
O1 0.0000 0.5000 0.0000

# 5
# Na2Pm2PaTe6 (PBE, relaxed)
# DOS at the Fermi energy   6.481 states/eV per cell
# E_tot   -106.86 eV for the cell shown
data_Na2Pm2PaTe6
_chemical_formula_sum 'Na4 Pm4 Pa2 Te12'
_space_group_name_H-M_alt 'C 1 2/m 1'
_space_group_IT_number 12
_space_group_name_Hall '-C 2y'
_cell_length_a 7.7794
_cell_length_b 13.3755
_cell_length_c 8.0456
_cell_angle_alpha 90.00
_cell_angle_beta 108.96
_cell_angle_gamma 90.00
loop_
_atom_site_label
_atom_site_fract_x
_atom_site_fract_y
_atom_site_fract_z
Na1 0.0000 0.1694 0.0000
Pm1 0.0000 0.3331 0.5000
Pa1 0.0000 0.0000 0.5000
Te1 0.2431 0.1621 0.7356
Te2 0.2464 0.0000 0.2660

# 6
# VMo12W7 (PBE, relaxed)
# E_form   8.9 kcal/mol of atoms
# DOS at the Fermi energy   70.517 states/eV per cell
# E_tot   -666.11 eV for the cell shown
data_VMo12W7
_chemical_formula_sum 'V3 Mo36 W21'
_space_group_name_H-M_alt 'R -3'
_space_group_IT_number 148
_space_group_name_Hall '-R 3'
_cell_length_a 9.6556
_cell_length_b 9.6556
_cell_length_c 12.3669
_cell_angle_alpha 90.00
_cell_angle_beta 90.00
_cell_angle_gamma 120.00
loop_
_atom_site_label
_atom_site_fract_x
_atom_site_fract_y
_atom_site_fract_z
V1 0.0000 0.0000 0.0000
Mo1 0.0248 0.5678 0.7038
Mo2 0.0503 0.4665 0.0885
W1 0.0000 0.0000 0.5000
W2 0.0511 0.8659 0.8119